--- w ---
# KTlBi2, optimized geometry, DFT PBE-GGA
data_KTlBi2
_chemical_formula_sum 'K4 Tl4 Bi8'
_cell_length_a 5.575
_cell_length_b 14.053
_cell_length_c 7.789
_cell_angle_alpha 90.00
_cell_angle_beta 90.00
_cell_angle_gamma 90.00
_symmetry_space_group_name_H-M 'C m c m'
_symmetry_Int_Tables_number 63
_symmetry_space_group_name_Hall '-C 2c 2'
loop_
_atom_site_label
_atom_site_fract_x
_atom_site_fract_y
_atom_site_fract_z
K1 0.000 0.070 0.250
Tl1 0.000 0.206 0.750
Bi1 0.000 0.393 0.051
# total magnetic moment	0.00	Bohr magnetons per cell
# DOS at the Fermi energy	1.24	states/eV/f.u.

=====

--- x ---
# KTlBi2, optimized geometry, DFT PBE-GGA
data_KTlBi2
_chemical_formula_sum 'K1 Tl1 Bi2'
_cell_length_a 3.488
_cell_length_b 3.488
_cell_length_c 11.102
_cell_angle_alpha 90.00
_cell_angle_beta 90.00
_cell_angle_gamma 90.00
_symmetry_space_group_name_H-M 'P 4/m m m'
_symmetry_Int_Tables_number 123
_symmetry_space_group_name_Hall '-P 4 2'
loop_
_atom_site_label
_atom_site_fract_x
_atom_site_fract_y
_atom_site_fract_z
K1 0.000 0.000 0.000
Tl1 0.000 0.000 0.500
Bi1 0.500 0.500 0.259
# total magnetic moment	0.00	Bohr magnetons per cell
# DOS at the Fermi energy	1.79	states/eV/f.u.

=====

--- y ---
# KTlBi2, optimized geometry, DFT PBE-GGA
data_KTlBi2
_chemical_formula_sum 'K1 Tl1 Bi2'
_cell_length_a 3.525
_cell_length_b 5.558
_cell_length_c 6.958
_cell_angle_alpha 90.00
_cell_angle_beta 90.00
_cell_angle_gamma 90.00
_symmetry_space_group_name_H-M 'P m m m'
_symmetry_Int_Tables_number 47
loop_
_symmetry_equiv_pos_as_xyz
'x,y,z'
'-x,-y,-z'
'-x,-y,z'
'x,y,-z'
'x,-y,-z'
'-x,y,z'
'-x,y,-z'
'x,-y,z'
loop_
_atom_site_label
_atom_site_fract_x
_atom_site_fract_y
_atom_site_fract_z
K1 0.000 0.000 0.000
Tl1 0.000 0.000 0.500
Bi1 0.500 0.500 0.228
# total magnetic moment	0.00	Bohr magnetons per cell
# DOS at the Fermi energy	1.28	states/eV/f.u.

=====

Decreasing stability: w, y, x

=====

--- w ---
# KTl4Bi2, optimized geometry, DFT PBE-GGA
data_KTl4Bi2
_chemical_formula_sum 'K2 Tl8 Bi4'
_cell_length_a 5.144
_cell_length_b 19.507
_cell_length_c 5.068
_cell_angle_alpha 90.00
_cell_angle_beta 90.00
_cell_angle_gamma 90.00
_symmetry_space_group_name_H-M 'C m m m'
_symmetry_Int_Tables_number 65
_symmetry_space_group_name_Hall '-C 2 2'
loop_
_atom_site_label
_atom_site_fract_x
_atom_site_fract_y
_atom_site_fract_z
K1 0.000 0.000 0.000
Tl1 0.000 0.184 0.500
Tl2 0.000 0.314 0.000
Bi1 0.000 0.421 0.500
# total magnetic moment	0.00	Bohr magnetons per cell
# DOS at the Fermi energy	2.17	states/eV/f.u.

=====

--- x ---
# KTl4Bi2, optimized geometry, DFT PBE-GGA
data_KTl4Bi2
_chemical_formula_sum 'K2 Tl8 Bi4'
_cell_length_a 6.677
_cell_length_b 8.516
_cell_length_c 8.560
_cell_angle_alpha 90.00
_cell_angle_beta 90.00
_cell_angle_gamma 90.00
_symmetry_space_group_name_H-M 'I m m m'
_symmetry_Int_Tables_number 71
_symmetry_space_group_name_Hall '-I 2 2'
loop_
_atom_site_label
_atom_site_fract_x
_atom_site_fract_y
_atom_site_fract_z
K1 0.000 0.000 0.000
Tl1 0.000 0.306 0.306
Bi1 0.249 0.500 0.000
# total magnetic moment	0.00	Bohr magnetons per cell
# DOS at the Fermi energy	3.03	states/eV/f.u.

=====

Decreasing stability: w, x

=====

--- w ---
# KTl3Bi, optimized geometry, DFT PBE-GGA
data_KTl3Bi
_chemical_formula_sum 'K1 Tl3 Bi1'
_cell_length_a 5.999
_cell_length_b 5.999
_cell_length_c 5.999
_cell_angle_alpha 90.00
_cell_angle_beta 90.00
_cell_angle_gamma 90.00
_symmetry_space_group_name_H-M 'P m -3 m'
_symmetry_Int_Tables_number 221
_symmetry_space_group_name_Hall '-P 4 2 3'
loop_
_atom_site_label
_atom_site_fract_x
_atom_site_fract_y
_atom_site_fract_z
K1 0.000 0.000 0.000
Tl1 0.000 0.000 0.500
Bi1 0.500 0.500 0.500
# total magnetic moment	0.00	Bohr magnetons per cell
# DOS at the Fermi energy	3.49	states/eV/f.u.

=====

--- x ---
# KTl3Bi, optimized geometry, DFT PBE-GGA
data_KTl3Bi
_chemical_formula_sum 'K3 Tl9 Bi3'
_cell_length_a 8.020
_cell_length_b 8.020
_cell_length_c 8.020
_cell_angle_alpha 90.00
_cell_angle_beta 90.00
_cell_angle_gamma 90.00
_symmetry_space_group_name_H-M 'P m -3 m'
_symmetry_Int_Tables_number 221
_symmetry_space_group_name_Hall '-P 4 2 3'
loop_
_atom_site_label
_atom_site_fract_x
_atom_site_fract_y
_atom_site_fract_z
K1 0.000 0.000 0.500
Tl1 0.000 0.000 0.000
Tl2 0.266 0.266 0.266
Bi1 0.000 0.500 0.500
# total magnetic moment	0.00	Bohr magnetons per cell
# DOS at the Fermi energy	2.83	states/eV/f.u.

=====

Decreasing stability: x, w

=====

--- w ---
# K2TlBi2, optimized geometry, DFT PBE-GGA
data_K2TlBi2
_chemical_formula_sum 'K4 Tl2 Bi4'
_cell_length_a 8.359
_cell_length_b 8.359
_cell_length_c 5.718
_cell_angle_alpha 90.00
_cell_angle_beta 90.00
_cell_angle_gamma 90.00
_symmetry_space_group_name_H-M 'P 4/m b m'
_symmetry_Int_Tables_number 127
_symmetry_space_group_name_Hall '-P 4 2ab'
loop_
_atom_site_label
_atom_site_fract_x
_atom_site_fract_y
_atom_site_fract_z
K1 0.169 0.331 0.000
Tl1 0.000 0.000 0.500
Bi1 0.130 0.630 0.500
# total magnetic moment	0.00	Bohr magnetons per cell
# DOS at the Fermi energy	2.33	states/eV/f.u.

=====

--- x ---
# K2TlBi2, optimized geometry, DFT PBE-GGA
data_K2TlBi2
_chemical_formula_sum 'K4 Tl2 Bi4'
_cell_length_a 10.702
_cell_length_b 10.702
_cell_length_c 3.385
_cell_angle_alpha 90.00
_cell_angle_beta 90.00
_cell_angle_gamma 90.00
_symmetry_space_group_name_H-M 'P 4/m b m'
_symmetry_Int_Tables_number 127
_symmetry_space_group_name_Hall '-P 4 2ab'
loop_
_atom_site_label
_atom_site_fract_x
_atom_site_fract_y
_atom_site_fract_z
K1 0.122 0.378 0.000
Tl1 0.000 0.000 0.000
Bi1 0.176 0.676 0.500
# total magnetic moment	0.00	Bohr magnetons per cell
# DOS at the Fermi energy	3.21	states/eV/f.u.

=====

--- y ---
# K2TlBi2, optimized geometry, DFT PBE-GGA
data_K2TlBi2
_chemical_formula_sum 'K4 Tl2 Bi4'
_cell_length_a 5.446
_cell_length_b 5.446
_cell_length_c 14.821
_cell_angle_alpha 90.00
_cell_angle_beta 90.00
_cell_angle_gamma 90.00
_symmetry_space_group_name_H-M 'I 4/m m m'
_symmetry_Int_Tables_number 139
_symmetry_space_group_name_Hall '-I 4 2'
loop_
_atom_site_label
_atom_site_fract_x
_atom_site_fract_y
_atom_site_fract_z
K1 0.000 0.500 0.250
Tl1 0.000 0.000 0.000
Bi1 0.000 0.000 0.404
# total magnetic moment	0.00	Bohr magnetons per cell
# DOS at the Fermi energy	3.90	states/eV/f.u.

=====

Decreasing stability: w, x, y